DFT (GGA-PBEsol) results for crystalline Tm2Ti2O7 at its relaxed geometry.

Geometry as extended XYZ:
```
22
Lattice="-4.2773 -1.1680 5.4819 -4.0421 -5.7749 0.1498 1.4367 -5.1917 4.5489" Properties=species:S:1:pos:R:3 pbc="T T T"
Ti -0.1420 -4.1127 3.5470
Ti -2.8814 -4.4042 1.3474
Ti -0.8603 -1.5168 1.2726
Ti -2.9990 -2.1008 4.0135
O -1.3725 -5.0743 2.3820
O -0.5952 -5.5564 4.7744
O -1.9709 -2.9118 0.4873
O -3.4414 -6.0672 5.0903
O -3.9291 -3.2086 5.3188
O -2.0689 -0.9929 2.7082
O -5.1621 -9.1009 7.6354
O 0.3112 -2.6689 2.3196
O -3.0909 -6.2378 7.9729
O -3.7919 -5.8966 2.2076
O -1.4705 -3.1554 4.6030
O -6.2876 -6.5781 5.4061
O -2.9536 -8.9258 4.8618
O -3.7525 -3.3983 2.7706
Tm -4.3017 -7.5841 6.3628
Tm -5.0201 -4.9882 4.0884
Tm -2.1631 -7.0001 3.6219
Tm -2.2807 -4.6966 6.2880
```

Properties
The total DFT energy (no corrections) comes out at -9.143 eV/atom. The spin magnetization comes out at 0.0 Bohr magnetons per cell. As for the space group: Fd-3m, No. 227.


DFT (GGA-PBEsol) results for crystalline MgCoSb3 at its relaxed geometry.

Geometry as extended XYZ:
```
5
Lattice="-3.0626 3.0407 -2.4063 -3.3768 -3.5987 -0.2497 -1.9062 1.4897 4.3084" Properties=species:S:1:pos:R:3 pbc="T T T"
Mg -4.1728 0.4658 0.8262
Sb -0.9531 0.7449 2.1542
Sb -1.5313 1.5203 -1.2032
Sb -1.6884 -1.7994 -0.1248
Co 0.0000 0.0000 0.0000
```

Properties
The total DFT energy (no corrections) comes out at -4.365 eV/atom. The spin magnetization comes out at 0.5 Bohr magnetons per cell. As for the space group: Pm-3m, No. 221.


DFT (GGA-PBEsol) results for crystalline KRb3Co at its relaxed geometry.

Geometry as extended XYZ:
```
5
Lattice="7.5486 0.0000 0.0000 0.0000 7.5486 0.0000 0.0000 0.0000 7.5486" Properties=species:S:1:pos:R:3 pbc="T T T"
Rb 3.7743 0.0000 0.0000
Rb 0.0000 0.0000 3.7743
Rb 0.0000 3.7743 0.0000
K 0.0000 0.0000 0.0000
Co 3.7743 3.7743 3.7743
```

Properties
The formation energy from the elements is 1.165 eV per atom. The spin magnetization comes out at 2.1 Bohr magnetons per cell. As for the space group: Pm-3m, No. 221.


DFT (GGA-PBEsol) results for crystalline TiOF2 at its relaxed geometry.

Geometry as extended XYZ:
```
8
Lattice="3.1637 0.0000 0.0000 0.0000 3.1637 0.0000 -1.5818 -1.5818 7.1794" Properties=species:S:1:pos:R:3 pbc="T T T"
F 2.4888 0.7909 1.7949
F -0.7909 -0.9069 5.3846
F 0.7909 0.9069 5.3846
F 0.6749 2.3727 1.7949
Ti 0.0000 0.0000 0.0000
Ti 0.0000 1.5818 3.5897
O 1.5818 1.5818 0.0000
O 1.5818 0.0000 3.5897
```

Properties
The spin magnetization comes out at 0.3 Bohr magnetons per cell. The calculation puts the excess energy over the best structure of this formula in the dataset at 1116 meV/atom. As for the space group: I-42d, No. 122.


DFT (GGA-PBEsol) results for crystalline BeAgW3 at its relaxed geometry.

Geometry as extended XYZ:
```
5
Lattice="4.2080 0.0000 0.0000 0.0000 4.2080 0.0000 0.0000 0.0000 4.2080" Properties=species:S:1:pos:R:3 pbc="T T T"
Be 0.0000 0.0000 0.0000
Ag 2.1040 2.1040 2.1040
W 0.0000 0.0000 2.1040
W 0.0000 2.1040 0.0000
W 2.1040 0.0000 0.0000
```

Properties
The formation energy from the elements is 1.012 eV per atom. The spin magnetization comes out at 0.0 Bohr magnetons per cell. As for the space group: Pm-3m, No. 221.


DFT (GGA-PBEsol) results for crystalline Cd2NiBr at its relaxed geometry.

Geometry as extended XYZ:
```
4
Lattice="3.3660 0.0000 0.0000 1.6830 2.9151 0.0000 1.6830 0.9717 7.9928" Properties=species:S:1:pos:R:3 pbc="T T T"
Cd 1.6830 0.9717 7.9431
Cd 5.0490 2.9151 5.6915
Br 1.6830 0.9717 2.4519
Ni 3.3660 1.9434 3.8954
```

Properties
The spin magnetization comes out at 0.3 Bohr magnetons per cell. The calculation puts the excess energy over the best structure of this formula in the dataset at 0 meV/atom. As for the space group: R3m, No. 160.


DFT (GGA-PBEsol) results for crystalline Al2H12Se3O15 at its relaxed geometry.

Geometry as extended XYZ:
```
64
Lattice="-0.2223 3.3388 -8.4990 -6.3218 -6.0087 2.7131 -6.0812 7.8650 3.2488" Properties=species:S:1:pos:R:3 pbc="T T T"
H -3.4708 0.1811 -6.8236
H -9.6003 2.1031 2.9166
H -6.8657 1.9774 1.9528
H -1.6178 1.4277 -3.7291
H -5.3334 2.5155 -5.6142
H -8.9361 0.7303 1.0966
H -4.7217 1.4838 -1.9716
H -6.2483 2.5467 -0.9133
H -3.0700 3.5186 -5.1226
H -5.4463 1.3774 -4.3871
H -9.2909 -0.1461 -0.0897
H -3.6691 -0.1055 -3.8573
H -8.5397 3.1475 3.6901
H -9.8927 3.1555 -0.1785
H -8.1120 4.8803 0.2957
H -11.0025 2.4198 0.8419
H -0.3465 1.6481 -4.5271
H -2.3778 3.9984 -3.6718
H -7.6788 2.3419 -0.4515
H -3.0096 -1.0821 -2.9021
H -7.4478 4.2664 1.7085
H -2.9724 1.2775 -5.9010
H -6.5089 0.7965 2.8358
H -3.2032 2.1791 -2.1292
O -5.7845 4.8868 -4.4945
O -8.8774 2.9910 -1.3826
O -7.0770 0.9796 2.0317
O -1.2686 1.2888 -4.6806
O -1.6353 1.9599 -2.1666
O -7.4411 6.8340 -3.6782
O -9.8989 0.6249 2.4333
O -7.3119 -1.5603 0.0491
O -5.7068 -3.5863 -0.6726
O -4.2127 2.3202 -2.1920
O -6.2666 3.4546 2.3820
O -3.2033 0.2815 -5.8638
O -5.8153 0.2027 -1.4175
O -5.3160 -0.1432 -3.9646
O -8.6243 0.5662 0.1362
O -6.4920 3.4402 -2.3166
O -7.9941 5.4560 -1.3773
O -8.2559 4.7163 1.2752
O -4.3308 5.0698 -2.2164
O -3.5237 -2.2855 0.2647
O -2.8705 2.8038 -6.5216
O -2.7355 -0.3310 -3.5050
O -5.8485 7.1548 -1.4738
O -10.4793 3.2548 0.6517
O -9.3805 3.0734 3.1473
O -5.1342 -0.3429 1.1781
O -5.4501 2.3698 -4.6282
O -3.2316 3.9045 -4.1909
O -4.3547 -1.8766 -2.2806
O -6.7274 2.1435 -0.1318
Se -5.8363 -1.0460 -2.6395
Se -8.1077 4.0653 -2.4290
Se -6.6220 -3.0304 0.6938
Se -3.5245 -0.5711 0.5380
Se -4.9631 5.8165 -0.7823
Se -5.9342 6.6159 -4.5353
Al -4.9419 3.6975 -3.3264
Al -10.0157 4.5141 2.0354
Al -6.7023 0.2288 0.2652
Al -7.7097 7.2772 -1.8478
```

Properties
The spin magnetization comes out at 0.0 Bohr magnetons per cell. The calculation puts the excess energy over the best structure of this formula in the dataset at 56 meV/atom. As for the space group: P31c, No. 159.


DFT (GGA-PBEsol) results for crystalline AlCu at its relaxed geometry.

Geometry as extended XYZ:
```
4
Lattice="3.6855 0.0000 0.0000 0.0000 3.6855 0.0000 -1.8428 -1.8428 3.8643" Properties=species:S:1:pos:R:3 pbc="T T T"
Cu 1.8428 1.8428 0.0000
Cu 1.8428 0.0000 1.9321
Al 0.0000 1.8428 1.9321
Al 0.0000 0.0000 0.0000
```

Properties
The formation energy from the elements is -0.131 eV per atom. The spin magnetization comes out at 0.0 Bohr magnetons per cell. As for the space group: I4_1/amd, No. 141.


DFT (GGA-PBEsol) results for crystalline PrAl8Fe4 at its relaxed geometry.

Geometry as extended XYZ:
```
13
Lattice="-0.7032 4.6290 1.7190 -6.3259 1.0962 1.6960 0.8446 0.3734 6.5759" Properties=species:S:1:pos:R:3 pbc="T T T"
Fe 0.0707 2.5012 4.1475
Fe 0.4223 0.1867 3.2880
Fe -3.1630 0.5481 0.8480
Fe -3.5146 2.8626 1.7075
Al -1.6079 0.6206 4.9068
Al -1.4213 1.6072 2.3265
Al -2.3375 3.5484 3.9603
Al -3.8471 2.5502 6.0306
Al -4.7633 4.4914 7.6644
Al -3.8734 0.8490 3.3650
Al -1.1123 2.8497 6.3429
Al -5.0723 3.2489 3.6479
Pr 0.0000 0.0000 0.0000
```

Properties
The formation energy from the elements is -0.395 eV per atom. The spin magnetization comes out at 5.4 Bohr magnetons per cell. As for the space group: I4/mmm, No. 139.


DFT (GGA-PBEsol) results for crystalline MgH at its relaxed geometry.

Geometry as extended XYZ:
```
4
Lattice="3.2958 0.0000 0.0000 -1.6479 2.8543 0.0000 0.0000 0.0000 5.3344" Properties=species:S:1:pos:R:3 pbc="T T T"
H 0.0000 1.9029 2.6778
H 1.6479 0.9514 0.0106
Mg 0.0000 1.9029 0.6560
Mg 1.6479 0.9514 3.3232
```

Properties
The total DFT energy (no corrections) comes out at -2.350 eV/atom. The spin magnetization comes out at 0.0 Bohr magnetons per cell. As for the space group: P6_3mc, No. 186.


DFT (GGA-PBEsol) results for crystalline CuTePdI2 at its relaxed geometry.

Geometry as extended XYZ:
```
5
Lattice="-1.4774 -0.0854 4.8478 -4.6542 -1.8043 -1.4502 1.7502 -4.8741 0.4475" Properties=species:S:1:pos:R:3 pbc="T T T"
I -2.3271 -0.9022 -0.7251
I 0.8751 -2.4371 0.2238
Pd -2.1907 -3.3819 1.9226
Cu 0.0000 0.0000 0.0000
Te -0.7387 -0.0427 2.4239
```

Properties
The total DFT energy (no corrections) comes out at -2.805 eV/atom. The spin magnetization comes out at 0.0 Bohr magnetons per cell. As for the space group: P4/mmm, No. 123.


DFT (GGA-PBEsol) results for crystalline CrRh2 at its relaxed geometry.

Geometry as extended XYZ:
```
6
Lattice="-0.7796 2.4929 0.4228 -4.1757 -2.6162 -0.5532 1.2787 -0.6248 6.0421" Properties=species:S:1:pos:R:3 pbc="T T T"
Cr -1.4949 0.5804 2.1009
Cr -4.9408 -0.1198 -0.1244
Rh -2.2058 -1.3383 3.8242
Rh -3.2365 -1.2450 1.3732
Rh 0.2414 -0.5386 3.6211
Rh -1.1282 0.0646 5.8189
```

Properties
The formation energy from the elements is -0.072 eV per atom. The spin magnetization comes out at 0.0 Bohr magnetons per cell. As for the space group: Cm, No. 8.


DFT (GGA-PBEsol) results for crystalline RbCaN2F at its relaxed geometry.

Geometry as extended XYZ:
```
5
Lattice="-2.2495 3.4656 -1.5657 -4.0997 -2.2363 0.9402 -0.0550 1.9314 4.3542" Properties=species:S:1:pos:R:3 pbc="T T T"
Rb -3.2021 1.5803 1.8644
F -1.1247 1.7328 -0.7828
N -2.0499 -1.1182 0.4701
N -0.0275 0.9657 2.1771
Ca 0.0000 0.0000 0.0000
```

Properties
The total DFT energy (no corrections) comes out at -4.619 eV/atom. The spin magnetization comes out at 4.0 Bohr magnetons per cell. As for the space group: P4/mmm, No. 123.


DFT (GGA-PBEsol) results for crystalline LiLaMn2 at its relaxed geometry.

Geometry as extended XYZ:
```
4
Lattice="4.7653 0.0000 0.0000 2.3827 4.1269 0.0000 2.3827 1.3756 3.8909" Properties=species:S:1:pos:R:3 pbc="T T T"
Mn 7.1480 4.1269 2.9181
Mn 2.3827 1.3756 0.9727
Li 4.7653 2.7512 1.9454
La 0.0000 0.0000 0.0000
```

Properties
The formation energy from the elements is 0.665 eV per atom. The spin magnetization comes out at 6.5 Bohr magnetons per cell. The calculation puts the excess energy over the best structure of this formula in the dataset at 307 meV/atom. As for the space group: Fm-3m, No. 225.


DFT (GGA-PBEsol) results for crystalline WS2Br at its relaxed geometry.

Geometry as extended XYZ:
```
4
Lattice="4.4312 0.0000 0.0000 2.2156 3.8375 0.0000 2.2156 1.2792 3.6181" Properties=species:S:1:pos:R:3 pbc="T T T"
W 4.4312 2.5584 1.8090
S 2.2156 1.2792 0.9045
S 6.6468 3.8375 2.7135
Br 0.0000 0.0000 0.0000
```

Properties
The total DFT energy (no corrections) comes out at -5.477 eV/atom. The spin magnetization comes out at 0.0 Bohr magnetons per cell. As for the space group: Fm-3m, No. 225.


DFT (GGA-PBEsol) results for crystalline Ta2TiNbRe at its relaxed geometry.

Geometry as extended XYZ:
```
5
Lattice="4.3524 0.0000 0.0000 0.0000 4.6169 0.0000 0.0000 0.0000 4.6169" Properties=species:S:1:pos:R:3 pbc="T T T"
Re 2.1762 2.3084 2.3084
Ti 0.0000 0.0000 0.0000
Nb 2.1762 0.0000 0.0000
Ta 0.0000 2.3084 0.0000
Ta 0.0000 0.0000 2.3084
```

Properties
The formation energy from the elements is 1.676 eV per atom. The spin magnetization comes out at 0.0 Bohr magnetons per cell. As for the space group: P4/mmm, No. 123.


DFT (GGA-PBEsol) results for crystalline Ba7In2Se6F8 at its relaxed geometry.

Geometry as extended XYZ:
```
23
Lattice="4.3945 0.0000 0.0000 0.0000 10.7746 0.0103 -2.1972 -3.4879 11.4789" Properties=species:S:1:pos:R:3 pbc="T T T"
F 0.0000 9.9296 2.5891
F 0.0000 -2.0056 10.9645
F 0.0000 6.3352 8.7754
F 2.1972 -2.6430 8.9000
F 2.1972 4.9300 9.9815
F 2.1972 9.2922 0.5247
F 0.0000 2.3566 1.5076
F 2.1972 0.9515 2.7137
Ba 0.0000 -1.4338 8.4184
Ba 0.0000 3.7346 10.4591
Ba 2.1972 3.5520 1.0300
Ba 0.0000 0.0000 0.0000
Ba 2.1972 8.7205 3.0708
Ba 2.1972 5.9227 7.4972
Ba 0.0000 1.3639 3.9920
Se 0.0000 6.3041 1.5442
Se 0.0000 3.2169 7.0613
Se 0.0000 7.5663 5.4736
Se 2.1972 -0.2796 6.0155
Se 2.1972 4.0698 4.4278
Se 2.1972 0.9825 9.9449
In 0.0000 5.5248 3.9725
In 2.1972 1.7619 7.5167
```

Properties
The total DFT energy (no corrections) comes out at -5.268 eV/atom. The spin magnetization comes out at 0.0 Bohr magnetons per cell. As for the space group: C2/m, No. 12.


DFT (GGA-PBEsol) results for crystalline InMoP2 at its relaxed geometry.

Geometry as extended XYZ:
```
4
Lattice="3.2243 0.0190 0.0227 -0.0317 4.4294 0.0220 -0.0317 -0.7689 4.3622" Properties=species:S:1:pos:R:3 pbc="T T T"
In 1.5805 1.8397 2.2035
P -0.0158 2.2147 0.0110
P -0.0158 -0.3844 2.1811
Mo 1.6122 0.0095 0.0114
```

Properties
The formation energy from the elements is 0.325 eV per atom. The spin magnetization comes out at 0.0 Bohr magnetons per cell. As for the space group: Cmmm, No. 65.


DFT (GGA-PBEsol) results for crystalline LaMoP2 at its relaxed geometry.

Geometry as extended XYZ:
```
4
Lattice="3.1586 0.0000 0.0000 0.0000 3.1586 0.0000 0.0000 0.0000 6.8711" Properties=species:S:1:pos:R:3 pbc="T T T"
P 0.0000 0.0000 4.7739
P 0.0000 0.0000 2.0973
La 1.5793 1.5793 0.0000
Mo 1.5793 1.5793 3.4356
```

Properties
The formation energy from the elements is -0.691 eV per atom. The spin magnetization comes out at 0.0 Bohr magnetons per cell. The calculation puts the excess energy over the best structure of this formula in the dataset at 125 meV/atom. As for the space group: P4/mmm, No. 123.


DFT (GGA-PBEsol) results for crystalline ReHg2W at its relaxed geometry.

Geometry as extended XYZ:
```
4
Lattice="-1.3467 0.8099 2.3132 -4.2662 -0.5868 -2.2782 0.0393 -4.9692 1.2063" Properties=species:S:1:pos:R:3 pbc="T T T"
Re -2.8064 0.1116 0.0175
W -2.1134 -2.7780 -0.5360
Hg -0.3495 -1.0230 0.9181
Hg -0.9579 -3.1363 2.6015
```

Properties
The formation energy from the elements is 0.858 eV per atom. The spin magnetization comes out at 0.0 Bohr magnetons per cell. The calculation puts the excess energy over the best structure of this formula in the dataset at 78 meV/atom. As for the space group: P2/m, No. 10.


DFT (GGA-PBEsol) results for crystalline CaSe2Cl at its relaxed geometry.

Geometry as extended XYZ:
```
4
Lattice="4.3278 0.3893 0.0000 -1.3799 4.2222 0.0000 0.0000 0.0000 5.4848" Properties=species:S:1:pos:R:3 pbc="T T T"
Cl 2.1639 0.1947 2.7424
Se 2.5004 2.9993 0.0000
Se 0.4474 1.6122 0.0000
Ca -0.6900 2.1111 2.7424
```

Properties
The spin magnetization comes out at 0.0 Bohr magnetons per cell. The calculation puts the excess energy over the best structure of this formula in the dataset at 0 meV/atom. As for the space group: P2/m, No. 10.


DFT (GGA-PBEsol) results for crystalline MnReBr2 at its relaxed geometry.

Geometry as extended XYZ:
```
4
Lattice="-0.1220 -2.9935 -0.1483 1.3401 1.5683 -2.4233 7.6249 -0.5036 3.8907" Properties=species:S:1:pos:R:3 pbc="T T T"
Br 1.8439 -0.1218 0.9409
Br 5.7810 -0.3818 2.9499
Mn 3.7514 -1.7486 1.8712
Re -0.0610 -1.4967 -0.0742
```

Properties
The spin magnetization comes out at 4.1 Bohr magnetons per cell. The calculation puts the excess energy over the best structure of this formula in the dataset at 0 meV/atom. As for the space group: Cmmm, No. 65.


DFT (GGA-PBEsol) results for crystalline Mg2ScAg at its relaxed geometry.

Geometry as extended XYZ:
```
4
Lattice="4.8124 0.0000 0.0000 -2.4062 4.1534 0.0507 0.0000 2.7396 3.9565" Properties=species:S:1:pos:R:3 pbc="T T T"
Mg 0.0000 2.7616 1.0145
Mg 0.0000 0.0000 0.0000
Sc 2.4062 1.3698 1.9782
Ag 2.4062 4.1314 2.9927
```

Properties
The formation energy from the elements is -0.163 eV per atom. The spin magnetization comes out at 0.0 Bohr magnetons per cell. As for the space group: I-4m2, No. 119.